The following is a GGA-PBE calculation of crystalline PaGaAu3 at its relaxed geometry, from Alexandria.

abc: 7.3137 7.3137 6.5237
angles: 103.79 103.79 37.18
Last column: nearest neighbours and their distance in Å.
Sites, in units of the cell vectors:
1 Pa 0.1186 0.1186 0.4797  9 Au 3.04-3.39, 3 Ga 3.23-3.24, 1 Pa 3.37
2 Pa 0.8814 0.8814 0.5203  9 Au 3.04-3.39, 3 Ga 3.23-3.24, 1 Pa 3.37
3 Ga 0.2780 0.2780 0.1940  5 Au 2.64-2.96
4 Ga 0.7220 0.7220 0.8060  5 Au 2.64-2.96
5 Au 0.0935 0.0935 0.9484  1 Ga 2.65, 3 Au 2.79-2.84
6 Au 0.3261 0.3261 0.7774  3 Ga 2.77-2.96, 3 Au 2.88-2.98, 3 Pa 3.04-3.08
7 Au 0.4744 0.4744 0.2769  1 Ga 2.64, 4 Au 2.79-2.88
8 Au 0.5256 0.5256 0.7231  1 Ga 2.64, 4 Au 2.79-2.88
9 Au 0.6739 0.6739 0.2226  3 Ga 2.77-2.96, 3 Au 2.88-2.98, 3 Pa 3.04-3.08
10 Au 0.9065 0.9065 0.0516  1 Ga 2.65, 3 Au 2.79-2.84

Calculated values
E above lowest polymorph = 0 meV per atom
space group = C2/m, No. 12
ΔE_f = -0.27 eV per atom